Here is an optimized crystal structure of Pt2Pb6Au from Alexandria. Energies are from PBE.

```
Pt2Pb6Au
1.0
-4.532 4.558 5.647
4.532 -4.558 5.647
4.532 4.558 -5.647
Pt Pb Au
4 12 2
Direct
0.136 0.136 0.000
0.311 0.500 0.811
0.689 0.500 0.189
0.864 0.864 0.000
0.052 0.749 0.304
0.190 0.201 0.391
0.190 0.799 0.990
0.340 0.147 0.807
0.340 0.532 0.193
0.445 0.749 0.696
0.555 0.251 0.304
0.660 0.468 0.807
0.660 0.853 0.193
0.810 0.201 0.010
0.810 0.799 0.609
0.948 0.251 0.696
0.000 0.500 0.500
0.500 0.000 0.500
```

As for the space group: Immm, No. 71. The value obtained for the total energy is -4.284 eV per atom. The energy of formation from the pure elements comes out at -0.1057 eV per atom. As for the density: 13.03 g cm⁻³.